(1)
PtSeI: relaxed, PBE.

Unit cell a=3.7937 b=5.4754 c=9.4270 alpha=90.00 beta=101.16 gamma=90.00
Space group P2_1/m (No. 11)
Asymmetric unit:
Pt: 0.2021 0.2500 0.4003 x2
Se: 0.2130 0.7500 0.4232 x2
I: 0.3980 0.7500 0.8078 x2

Results
magnetic moment = 0.000 Bohr magnetons per cell
E_form (uncorrected) = -0.256 eV per atom


(2)
Zn2FeCo: relaxed, PBE.

Unit cell a=3.7856 b=3.7856 c=6.9217 alpha=90.00 beta=90.00 gamma=90.00
Space group I-4m2 (No. 119)
Asymmetric unit:
Zn: 0.0000 0.0000 0.0000 x2
Zn: 0.0000 0.5000 0.2500 x2
Fe: 0.0000 0.0000 0.5000 x2
Co: 0.0000 0.5000 0.7500 x2

Results
polymorph energy (0 for the lowest one) = 28.3 meV per atom
formation energy from the elements = 20 meV per atom
magnetic moment = 7.008 Bohr magnetons per cell


Repeat the second record exactly.
Zn2FeCo: relaxed, PBE.

Unit cell a=3.7856 b=3.7856 c=6.9217 alpha=90.00 beta=90.00 gamma=90.00
Space group I-4m2 (No. 119)
Asymmetric unit:
Zn: 0.0000 0.0000 0.0000 x2
Zn: 0.0000 0.5000 0.2500 x2
Fe: 0.0000 0.0000 0.5000 x2
Co: 0.0000 0.5000 0.7500 x2

Results
polymorph energy (0 for the lowest one) = 28.3 meV per atom
formation energy from the elements = 20 meV per atom
magnetic moment = 7.008 Bohr magnetons per cell


What is the formula in the first record? PtSeI


Which value of magnetic moment does entry 2 give? 7.008 Bohr magnetons per cell